Entry 1:
DFT (PBE-GGA) results for a relaxed structure of BaNdPb2.

Output
E_form = -0.412 eV per atom
E = -3.939 eV per atom
size of the total moment = 0.00 Bohr magnetons per cell

Lattice parameters (Å, degrees): 5.4265 5.4265 4.6822 90.00 90.00 90.00
Last column: nearest neighbours and their distance in Å.
Space group P4/mmm (No. 123)
Unique sites:
Ba 0.0000 0.0000 0.0000  8 Pb 3.58, 4 Nd 3.84
Nd 0.5000 0.5000 0.0000  8 Pb 3.58, 4 Ba 3.84
Pb 0.0000 0.5000 0.5000  4 Nd 3.58, 4 Ba 3.58, 4 Pb 3.84

Entry 2:
DFT (PBE-GGA) results for a relaxed structure of BaNdPb2.

Output
E_form = -0.509 eV per atom
E = -4.036 eV per atom
size of the total moment = 0.00 Bohr magnetons per cell

Lattice parameters (Å, degrees): 4.2692 4.2692 7.7280 90.00 90.00 90.00
Last column: nearest neighbours and their distance in Å.
Space group P4/mmm (No. 123)
Unique sites:
Ba 0.0000 0.0000 0.0000  8 Pb 3.77, 2 Nd 3.86
Nd 0.0000 0.0000 0.5000  8 Pb 3.42
Pb 0.5000 0.5000 0.2916  1 Pb 3.22, 4 Nd 3.42

Entry 3:
DFT (PBE-GGA) results for a relaxed structure of BaNd2Pb.

Output
E_form = -0.176 eV per atom
energy above the lowest structure with this stoichiometry = 0.000 eV/f.u.
E = -3.968 eV per atom
size of the total moment = 0.31 Bohr magnetons per cell

Lattice parameters (Å, degrees): 5.2298 5.2298 5.0664 90.00 90.00 90.00
Last column: nearest neighbours and their distance in Å.
Space group P4/mmm (No. 123)
Unique sites:
Ba 0.0000 0.0000 0.0000  8 Nd 3.64, 4 Pb 3.70
Nd 0.0000 0.5000 0.5000  4 Ba 3.64, 4 Pb 3.64, 4 Nd 3.70
Pb 0.5000 0.5000 0.0000  8 Nd 3.64, 4 Ba 3.70

Entry 4:
DFT (PBE-GGA) results for a relaxed structure of BaNdPb6.

Output
E_form = -0.369 eV per atom
E = -3.986 eV per atom
size of the total moment = 0.00 Bohr magnetons per cell

Lattice parameters (Å, degrees): 5.0590 5.0590 9.9639 90.00 90.00 90.00
Last column: nearest neighbours and their distance in Å.
Space group P4/mmm (No. 123)
Unique sites:
Ba 0.0000 0.0000 0.0000  12 Pb 3.58-3.62
Nd 0.0000 0.0000 0.5000  12 Pb 3.48-3.58
Pb 0.0000 0.5000 0.2599  8 Pb 3.48-3.62, 2 Nd 3.48, 2 Ba 3.62
Pb 0.5000 0.5000 0.0000  4 Ba 3.58, 8 Pb 3.62
Pb 0.5000 0.5000 0.5000  8 Pb 3.48, 4 Nd 3.58

Entry 5:
DFT (PBE-GGA) results for a relaxed structure of BaNd2Pb.

Output
E_form = 0.056 eV per atom
energy above the lowest structure with this stoichiometry = 0.927 eV/f.u.
E = -3.736 eV per atom
size of the total moment = 0.00 Bohr magnetons per cell

Lattice parameters (Å, degrees): 3.7327 3.7327 37.5046 90.00 90.00 120.00
Last column: nearest neighbours and their distance in Å.
Space group R-3m (No. 166, hexagonal axes)
Unique sites:
Ba 0.0000 0.0000 0.0000  2 Nd 3.63, 6 Ba 3.73
Nd 0.0000 0.0000 0.0968  3 Pb 3.39, 1 Ba 3.63, 6 Nd 3.73
Pb 0.0000 0.0000 0.5000  6 Nd 3.39, 6 Pb 3.73

Entry 6:
DFT (PBE-GGA) results for a relaxed structure of BaNdPb2.

Output
E_form = -0.382 eV per atom
E = -3.909 eV per atom
size of the total moment = 0.00 Bohr magnetons per cell

Lattice parameters (Å, degrees): 5.3845 5.3845 18.1366 90.00 90.00 120.00
Last column: nearest neighbours and their distance in Å.
Space group R-3m (No. 166, hexagonal axes)
Unique sites:
Ba 0.0000 0.0000 0.0000  6 Pb 3.59
Nd 0.0000 0.0000 0.5000  6 Pb 3.34
Pb 0.0000 0.0000 0.2338  3 Nd 3.34, 3 Ba 3.59

Entry 7:
DFT (PBE-GGA) results for a relaxed structure of BaNdPb.

Output
E_form = -0.459 eV per atom
E = -3.925 eV per atom
size of the total moment = 1.95 Bohr magnetons per cell

Lattice parameters (Å, degrees): 5.1569 5.1569 9.0867 90.00 90.00 90.00
Last column: nearest neighbours and their distance in Å.
Space group P4/nmm (No. 129, origin choice 2)
Unique sites:
Ba 0.2500 0.2500 0.1447  5 Pb 3.69-3.80
Nd 0.2500 0.7500 0.5000  4 Pb 3.37, 4 Nd 3.65
Pb 0.2500 0.2500 0.7389  4 Nd 3.37, 1 Ba 3.69

Entry 8:
DFT (PBE-GGA) results for a relaxed structure of Ba2NdPbSe4.

Output
E = -4.862 eV per atom
raw formation energy = -1.5794 eV per atom
size of the total moment = 0.00 Bohr magnetons per cell

Lattice parameters (Å, degrees): 7.8027 4.4702 7.8369 90.00 109.18 90.00
Last column: nearest neighbours and their distance in Å.
Space group P2/m (No. 10)
Unique sites:
Ba 0.0000 0.0000 0.0000  6 Se 3.26-3.27
Ba 0.5000 0.5000 0.0000  6 Se 3.32-3.33
Nd 0.0000 0.5000 0.5000  6 Se 3.04-3.06
Pb 0.5000 0.0000 0.5000  6 Se 3.11
Se 0.2358 0.0000 0.7239  2 Nd 3.06, 1 Pb 3.11, 3 Ba 3.27-3.32
Se 0.2503 0.5000 0.2729  1 Nd 3.04, 2 Pb 3.11, 3 Ba 3.26-3.33

Entry 9:
DFT (PBE-GGA) results for a relaxed structure of Ba3Nd3Te8Pb.

Output
E = -4.681 eV per atom
raw formation energy = -1.4206 eV per atom
size of the total moment = 0.00 Bohr magnetons per cell

Lattice parameters (Å, degrees): 9.3031 9.3031 23.8710 90.00 90.00 120.00
Last column: nearest neighbours and their distance in Å.
Space group R-3m (No. 166, hexagonal axes)
Unique sites:
Ba 0.0000 0.5000 0.0000  6 Te 3.47-3.49
Nd 0.0000 0.5000 0.5000  6 Te 3.20-3.23
Te 0.0000 0.0000 0.2415  3 Nd 3.23, 3 Ba 3.47
Te 0.0107 0.5053 0.7580  2 Nd 3.20, 1 Pb 3.30, 2 Ba 3.49
Pb 0.0000 0.0000 0.5000  6 Te 3.30

Entry 10:
DFT (PBE-GGA) results for a relaxed structure of BaNdPd10.

Output
E_form = -0.425 eV per atom
E = -5.310 eV per atom
size of the total moment = 0.00 Bohr magnetons per cell

Lattice parameters (Å, degrees): 4.4777 5.4591 9.4852 90.00 90.00 90.00
Last column: nearest neighbours and their distance in Å.
Space group Pmmm (No. 47)
Unique sites:
Ba 0.0000 0.0000 0.0000  18 Pd 3.22-3.59
Nd 0.0000 0.5000 0.5000  6 Pd 3.04-3.11
Pd 0.0000 0.0000 0.3425  7 Pd 2.69-2.99
Pd 0.0000 0.5000 0.1797  6 Pd 2.72-2.81, 1 Nd 3.04
Pd 0.5000 0.0000 0.5000  8 Pd 2.68-2.69
Pd 0.5000 0.2531 0.2577  8 Pd 2.68-2.79
Pd 0.5000 0.5000 0.0000  8 Pd 2.79-2.81

Entry 11:
DFT (PBE-GGA) results for a relaxed structure of BaNd3Pd.

Output
E_form = -0.115 eV per atom
E = -4.399 eV per atom
size of the total moment = 0.03 Bohr magnetons per cell

Lattice parameters (Å, degrees): 5.8038 5.8038 5.8038 90.00 90.00 90.00
Last column: nearest neighbours and their distance in Å.
Space group Pm-3m (No. 221)
Unique sites:
Ba 0.0000 0.0000 0.0000  12 Nd 4.10
Nd 0.0000 0.5000 0.5000  2 Pd 2.90
Pd 0.5000 0.5000 0.5000  6 Nd 2.90

Entry 12:
DFT (PBE-GGA) results for a relaxed structure of BaNd2Pd9.

Output
E_form = -0.615 eV per atom
E = -5.464 eV per atom
size of the total moment = 0.00 Bohr magnetons per cell

Lattice parameters (Å, degrees): 5.5319 5.5319 27.0235 90.00 90.00 120.00
Last column: nearest neighbours and their distance in Å.
Space group R-3m (No. 166, hexagonal axes)
Unique sites:
Ba 0.0000 0.0000 0.0000  6 Pd 3.19
Nd 0.0000 0.0000 0.1391  12 Pd 3.11-3.32
Pd 0.0000 0.0000 0.3331  6 Pd 2.81-2.84
Pd 0.0000 0.0000 0.5000  6 Pd 2.71
Pd 0.0038 0.5019 0.9139  7 Pd 2.71-2.84